(1)
Crystalline Cs2SmGe2Se6 at its relaxed geometry. Source: Alexandria via LeMat-Bulk, functional PBE.

Cell: 7.678 7.678 9.251 Å, 113.82 90.00 120.00°
Fractional positions:
Ge 0.102 0.203 0.315
Ge 0.898 0.797 0.685
Se 0.741 0.483 0.737
Se 0.747 0.011 0.748
Se 0.259 0.517 0.263
Se 0.253 0.989 0.252
Se 0.264 0.011 0.748
Se 0.736 0.989 0.252
Sm 0.500 0.000 0.500
Cs 0.718 0.436 0.161
Cs 0.282 0.564 0.839

Formation energy (no corrections) ... -0.83 eV/atom
Total magnetic moment ... 0.00 μB/cell

(2)
Crystalline Cs2SnGeSe4 at its relaxed geometry. Source: Alexandria via LeMat-Bulk, functional PBE.

Cell: 6.751 8.300 13.028 Å, 83.95 74.98 66.00°
Fractional positions:
Ge 0.500 0.000 0.000
Ge 0.250 0.500 0.500
Sn 0.000 0.000 0.000
Sn 0.750 0.500 0.500
Cs 0.181 0.000 0.638
Cs 0.569 0.500 0.862
Cs 0.819 0.000 0.362
Cs 0.931 0.500 0.138
Se 0.565 0.303 0.613
Se 0.482 0.697 0.387
Se 0.185 0.197 0.887
Se 0.268 0.803 0.113
Se 0.929 0.803 0.887
Se 0.619 0.197 0.113
Se 0.131 0.303 0.387
Se 0.821 0.697 0.613

Formation energy (no corrections) ... -0.72 eV/atom
Total magnetic moment ... 0.00 μB/cell

(3)
Crystalline CsSnGeSe3 at its relaxed geometry. Source: Alexandria via LeMat-Bulk, functional PBE.

Cell: 4.740 9.696 10.195 Å, 105.00 90.00 90.00°
Fractional positions:
Ge 0.250 0.103 0.599
Ge 0.750 0.897 0.401
Se 0.750 0.862 0.163
Se 0.250 0.138 0.837
Se 0.750 0.432 0.134
Se 0.750 0.162 0.524
Se 0.250 0.568 0.866
Se 0.250 0.838 0.476
Sn 0.250 0.624 0.139
Sn 0.750 0.376 0.861
Cs 0.250 0.175 0.211
Cs 0.750 0.825 0.789

Formation energy (no corrections) ... -0.58 eV/atom
Total magnetic moment ... 0.00 μB/cell

(4)
Crystalline Cs2TbGeSe4 at its relaxed geometry. Source: Alexandria via LeMat-Bulk, functional PBE.

Cell: 6.757 8.279 13.696 Å, 84.22 75.72 65.92°
Fractional positions:
Cs 0.181 0.000 0.639
Cs 0.931 0.500 0.139
Cs 0.569 0.500 0.861
Cs 0.819 0.000 0.361
Se 0.435 0.697 0.396
Se 0.222 0.197 0.896
Se 0.168 0.303 0.396
Se 0.315 0.803 0.104
Se 0.528 0.303 0.604
Se 0.868 0.697 0.604
Se 0.582 0.197 0.104
Se 0.882 0.803 0.896
Ge 0.500 0.000 0.000
Ge 0.250 0.500 0.500
Tb 0.750 0.500 0.500
Tb 0.000 0.000 0.000

Formation energy (no corrections) ... -1.07 eV/atom
Total magnetic moment ... 0.00 μB/cell